(1)
# LaIn2Ir2

A relaxed structure of LaIn2Ir2 (PBE, the Alexandria database).

Computed properties:
E_tot (eV per atom): -5.988
Magnetic moment (μB per formula unit): 0.00
Calculated volume (A^3/atom): 21.42

Cell: 5.311 5.311 6.111 Å, 54.94 54.94 54.51°
Sites, in units of the cell vectors:
La  0.000  0.500  0.000
In  0.201  0.701  0.299
In  0.799  0.299  0.701
Ir  0.500  0.000  0.291
Ir  0.500  0.000  0.709

(2)
# LaIn4Ir2

A relaxed structure of LaIn4Ir2 (PBE, the Alexandria database).

Computed properties:
E_tot (eV per atom): -5.195
Magnetic moment (μB per formula unit): 0.00
Calculated volume (A^3/atom): 22.15

Cell: 4.575 7.302 18.565 Å, 90.00 90.00 90.00°
Sites, in units of the cell vectors:
In  0.250  0.257  0.692
In  0.750  0.743  0.308
In  0.750  0.757  0.808
In  0.250  0.243  0.192
In  0.250  0.663  0.686
In  0.750  0.337  0.314
In  0.750  0.163  0.814
In  0.250  0.837  0.186
In  0.250  0.148  0.534
In  0.750  0.852  0.466
In  0.750  0.648  0.966
In  0.250  0.352  0.034
In  0.250  0.502  0.430
In  0.750  0.498  0.570
In  0.750  0.002  0.070
In  0.250  0.998  0.930
Ir  0.250  0.755  0.542
Ir  0.750  0.245  0.458
Ir  0.750  0.255  0.958
Ir  0.250  0.745  0.042
Ir  0.250  0.959  0.782
Ir  0.750  0.041  0.218
Ir  0.750  0.459  0.718
Ir  0.250  0.541  0.282
La  0.750  0.962  0.640
La  0.250  0.038  0.360
La  0.250  0.462  0.860
La  0.750  0.538  0.140

(3)
# La3InIr

A relaxed structure of La3InIr (PBE, the Alexandria database).

Computed properties:
Polymorph energy (0 for the lowest one) (eV/atom): 0.029
Magnetic moment (μB per formula unit): 0.00
Calculated volume (A^3/atom): 31.68

Cell: 18.249 8.176 8.176 Å, 147.21 147.34 32.66°
Sites, in units of the cell vectors:
Ir  0.104  0.701  0.299
Ir  0.896  0.299  0.701
In  0.439  0.156  0.844
In  0.561  0.844  0.156
La  0.294  0.657  0.343
La  0.706  0.343  0.657
La  0.948  0.430  0.570
La  0.052  0.570  0.430
La  0.298  0.946  0.054
La  0.702  0.054  0.946

(4)
# La3InIr

A relaxed structure of La3InIr (PBE, the Alexandria database).

Computed properties:
Polymorph energy (0 for the lowest one) (eV/atom): 0.014
Magnetic moment (μB per formula unit): 0.00
Calculated volume (A^3/atom): 30.66

Cell: 7.550 6.228 8.523 Å, 104.42 52.45 102.49°
Sites, in units of the cell vectors:
La  0.537  0.453  0.955
La  0.900  0.891  0.275
La  0.367  0.843  0.719
La  0.071  0.501  0.511
La  0.448  0.009  0.238
La  0.989  0.335  0.992
Ir  0.535  0.583  0.307
Ir  0.903  0.761  0.923
In  0.586  0.349  0.521
In  0.851  0.995  0.708

(5)
# LaInIr2

A relaxed structure of LaInIr2 (PBE, the Alexandria database).

Computed properties:
E_tot (eV per atom): -6.724
Magnetic moment (μB per formula unit): 0.00
Calculated volume (A^3/atom): 21.86

Cell: 4.185 4.069 5.524 Å, 68.34 90.00 90.00°
Sites, in units of the cell vectors:
In  0.500  0.772  0.831
Ir  0.000  0.199  0.976
Ir  0.500  0.054  0.267
La  0.000  0.475  0.426

(6)
# La12In6Ir

A relaxed structure of La12In6Ir (PBE, the Alexandria database).

Computed properties:
E_tot (eV per atom): -4.758
Magnetic moment (μB per formula unit): 0.00
Calculated volume (A^3/atom): 34.13

Cell: 8.683 8.683 8.683 Å, 94.38 94.38 94.38°
Sites, in units of the cell vectors:
La  0.807  0.571  0.457
La  0.457  0.807  0.571
La  0.571  0.457  0.807
La  0.193  0.429  0.543
La  0.543  0.193  0.429
La  0.429  0.543  0.193
La  0.982  0.084  0.322
La  0.916  0.678  0.018
La  0.678  0.018  0.916
La  0.018  0.916  0.678
La  0.084  0.322  0.982
La  0.322  0.982  0.084
In  0.663  0.856  0.267
In  0.733  0.337  0.144
In  0.144  0.733  0.337
In  0.337  0.144  0.733
In  0.267  0.663  0.856
In  0.856  0.267  0.663
Ir  0.000  0.000  0.000

(7)
# La2InIr

A relaxed structure of La2InIr (PBE, the Alexandria database).

Computed properties:
E_tot (eV per atom): -5.927
Magnetic moment (μB per formula unit): 0.00
Calculated volume (A^3/atom): 31.16

Cell: 4.153 4.153 8.685 Å, 76.19 76.19 59.98°
Sites, in units of the cell vectors:
Ir  0.250  0.250  0.250
La  0.981  0.981  0.056
La  0.519  0.519  0.444
In  0.750  0.750  0.750

(8)
# La3InIr

A relaxed structure of La3InIr (PBE, the Alexandria database).

Computed properties:
Polymorph energy (0 for the lowest one) (eV/atom): 0.109
Magnetic moment (μB per formula unit): 0.00
Calculated volume (A^3/atom): 30.29

Cell: 11.817 8.590 8.590 Å, 92.41 121.24 58.76°
Sites, in units of the cell vectors:
Ir  0.144  0.409  0.396
Ir  0.356  0.896  0.909
Ir  0.856  0.591  0.604
Ir  0.644  0.104  0.091
In  0.750  0.117  0.617
In  0.250  0.883  0.383
In  0.750  0.594  0.094
In  0.250  0.406  0.906
La  0.342  0.440  0.356
La  0.158  0.856  0.940
La  0.658  0.560  0.644
La  0.842  0.144  0.060
La  0.094  0.269  0.065
La  0.406  0.565  0.769
La  0.906  0.731  0.935
La  0.594  0.435  0.231
La  0.462  0.048  0.745
La  0.038  0.245  0.548
La  0.538  0.952  0.255
La  0.962  0.755  0.452

- Among the records above, which one has the lowest calculated volume?
  LaIn2Ir2

Repeat the seventh record exactly.
# La2InIr

A relaxed structure of La2InIr (PBE, the Alexandria database).

Computed properties:
E_tot (eV per atom): -5.927
Magnetic moment (μB per formula unit): 0.00
Calculated volume (A^3/atom): 31.16

Cell: 4.153 4.153 8.685 Å, 76.19 76.19 59.98°
Sites, in units of the cell vectors:
Ir  0.250  0.250  0.250
La  0.981  0.981  0.056
La  0.519  0.519  0.444
In  0.750  0.750  0.750

- Among the records above, which one has the lowest calculated volume?
  LaIn2Ir2